No. 1
{"formula": "YErTmSc", "functional": "PBE-GGA", "state": "relaxed", "rho_g_cm3": 6.67, "formation_energy_ev_per_atom": 0.05, "dos_ef_per_ev_cell": 6.5, "lattice": [[4.897, 0.000, 0.000], [0.000, 4.901, 0.000], [-2.448, -2.450, 4.876]], "species": ["Er", "Sc", "Tm", "Y"], "frac_coords": [[0.120, 0.120, 0.240], [0.870, 0.370, 0.740], [0.620, 0.620, 0.239], [0.370, 0.870, 0.740]]}



No. 2
{"formula": "YEr2TmSc2", "functional": "PBE-GGA", "state": "relaxed", "rho_g_cm3": 6.57, "formation_energy_ev_per_atom": 0.07, "dos_ef_per_ev_cell": 25.1, "lattice": [[5.402, 0.000, 0.000], [0.000, 9.330, 0.000], [0.000, 0.000, 6.839]], "species": ["Sc", "Tm", "Sc", "Er", "Er", "Sc", "Er", "Sc", "Y", "Y", "Er", "Tm"], "frac_coords": [[0.500, 0.833, 0.750], [0.000, 0.000, 0.000], [0.500, 0.167, 0.250], [0.000, 0.667, 0.749], [0.500, 0.167, 0.751], [0.000, 0.333, 0.750], [0.500, 0.833, 0.249], [0.000, 0.667, 0.250], [0.500, 0.500, 0.000], [0.000, 0.000, 0.500], [0.000, 0.333, 0.251], [0.500, 0.500, 0.500]]}



No. 3
{"formula": "Y6Er2Tm3Sc", "functional": "PBE-GGA", "state": "relaxed", "rho_g_cm3": 6.40, "formation_energy_ev_per_atom": 0.04, "dos_ef_per_ev_cell": 18.4, "lattice": [[-2.772, 4.289, -3.311], [-3.018, -5.046, 1.576], [-1.629, 5.385, 10.204]], "species": ["Y", "Y", "Er", "Er", "Y", "Y", "Y", "Y", "Sc", "Tm", "Tm", "Tm"], "frac_coords": [[0.249, 0.249, 0.752], [0.587, 0.918, 0.752], [0.333, 0.667, 0.000], [0.667, 0.333, 0.000], [0.918, 0.587, 0.752], [0.751, 0.751, 0.248], [0.082, 0.413, 0.248], [0.413, 0.082, 0.248], [0.000, 0.000, 0.000], [0.167, 0.833, 0.500], [0.833, 0.167, 0.500], [0.500, 0.500, 0.500]]}



No. 4
{"formula": "YEr2Tm2Sc", "functional": "PBE-GGA", "state": "relaxed", "rho_g_cm3": 7.34, "formation_energy_ev_per_atom": 0.11, "dos_ef_per_ev_cell": 14.4, "lattice": [[6.997, 0.000, 0.000], [0.000, 9.053, 0.754], [0.000, -2.554, 5.550]], "species": ["Tm", "Tm", "Sc", "Er", "Y", "Er", "Er", "Er", "Tm", "Tm", "Y", "Sc"], "frac_coords": [[0.000, 0.781, 0.643], [0.500, 0.781, 0.643], [0.250, 0.499, 0.287], [0.750, 0.502, 0.211], [0.750, 0.131, 0.795], [0.750, 0.869, 0.168], [0.250, 0.498, 0.789], [0.250, 0.131, 0.832], [0.000, 0.219, 0.357], [0.500, 0.219, 0.357], [0.250, 0.869, 0.205], [0.750, 0.501, 0.713]]}



No. 5
{"formula": "YErTm2Sc2", "functional": "PBE-GGA", "state": "relaxed", "rho_g_cm3": 6.61, "formation_energy_ev_per_atom": 0.07, "dos_ef_per_ev_cell": 25.5, "lattice": [[5.403, 0.000, 0.000], [0.000, 9.335, 0.000], [0.000, 0.000, 6.813]], "species": ["Er", "Sc", "Tm", "Y", "Sc", "Sc", "Sc", "Tm", "Y", "Tm", "Tm", "Er"], "frac_coords": [[0.000, 0.000, 0.000], [0.000, 0.333, 0.750], [0.000, 0.333, 0.251], [0.500, 0.500, 0.000], [0.500, 0.833, 0.750], [0.000, 0.667, 0.250], [0.500, 0.167, 0.250], [0.500, 0.833, 0.249], [0.000, 0.000, 0.500], [0.000, 0.667, 0.749], [0.500, 0.167, 0.751], [0.500, 0.500, 0.500]]}



No. 6
{"formula": "Y6Er3TmSc2", "functional": "PBE-GGA", "state": "relaxed", "rho_g_cm3": 5.91, "formation_energy_ev_per_atom": 0.05, "dos_ef_per_ev_cell": 19.1, "lattice": [[-4.002, 1.304, -4.369], [5.683, -1.544, -1.459], [-3.651, -10.884, 1.498]], "species": ["Y", "Er", "Tm", "Er", "Y", "Sc", "Er", "Y", "Y", "Y", "Sc", "Y"], "frac_coords": [[0.918, 0.583, 0.755], [0.500, 0.500, 0.500], [0.000, 0.000, 0.000], [0.167, 0.833, 0.500], [0.253, 0.253, 0.755], [0.333, 0.667, 0.000], [0.833, 0.167, 0.500], [0.747, 0.747, 0.245], [0.583, 0.918, 0.755], [0.417, 0.082, 0.245], [0.667, 0.333, 0.000], [0.082, 0.417, 0.245]]}



No. 7
{"formula": "YErTm2Sc4", "functional": "PBE-GGA", "state": "relaxed", "rho_g_cm3": 5.59, "formation_energy_ev_per_atom": 0.45, "dos_ef_per_ev_cell": 32.8, "lattice": [[-8.864, -0.632, -1.681], [1.559, -2.589, -8.524], [5.540, -2.963, 9.285]], "species": ["Tm", "Sc", "Sc", "Sc", "Sc", "Sc", "Sc", "Y", "Y", "Tm", "Sc", "Er", "Sc", "Er", "Tm", "Tm"], "frac_coords": [[0.500, 0.000, 0.000], [0.749, 0.753, 0.500], [0.253, 0.249, 0.000], [0.747, 0.751, 0.000], [0.253, 0.752, 0.002], [0.252, 0.753, 0.502], [0.251, 0.247, 0.500], [0.000, 0.500, 0.000], [0.000, 0.500, 0.500], [0.500, 0.000, 0.500], [0.748, 0.247, 0.498], [0.000, 0.000, 0.000], [0.747, 0.248, 0.998], [0.500, 0.500, 0.500], [0.500, 0.500, 0.000], [0.000, 0.000, 0.500]]}



No. 8
{"formula": "Y3Er2Tm6Sc", "functional": "PBE-GGA", "state": "relaxed", "rho_g_cm3": 7.62, "formation_energy_ev_per_atom": 0.04, "dos_ef_per_ev_cell": 18.1, "lattice": [[-4.114, -3.642, 2.527], [5.885, -1.317, 0.459], [0.009, 7.684, 8.676]], "species": ["Tm", "Tm", "Y", "Y", "Er", "Tm", "Y", "Sc", "Tm", "Er", "Tm", "Tm"], "frac_coords": [[0.587, 0.919, 0.754], [0.250, 0.250, 0.754], [0.834, 0.166, 0.500], [0.500, 0.500, 0.500], [0.667, 0.333, 0.000], [0.919, 0.587, 0.754], [0.166, 0.834, 0.500], [0.000, 0.000, 0.000], [0.081, 0.413, 0.246], [0.333, 0.667, 0.000], [0.413, 0.081, 0.246], [0.750, 0.750, 0.246]]}



No. 9
{"formula": "YErTmSc2", "functional": "PBE-GGA", "state": "relaxed", "rho_g_cm3": 5.61, "formation_energy_ev_per_atom": 0.25, "dos_ef_per_ev_cell": 19.7, "lattice": [[3.453, 0.000, 0.000], [-1.726, 7.910, 0.000], [0.000, 0.000, 11.163]], "species": ["Er", "Tm", "Y", "Y", "Sc", "Tm", "Er", "Sc", "Sc", "Sc"], "frac_coords": [[0.122, 0.244, 0.250], [0.823, 0.646, 0.250], [0.000, 0.000, 0.500], [0.000, 0.000, 0.000], [0.675, 0.351, 0.478], [0.177, 0.354, 0.750], [0.878, 0.756, 0.750], [0.325, 0.649, 0.522], [0.325, 0.649, 0.978], [0.675, 0.351, 0.022]]}



No. 10
{"formula": "Y6ErTm3Sc2", "functional": "PBE-GGA", "state": "relaxed", "rho_g_cm3": 5.95, "formation_energy_ev_per_atom": 0.05, "dos_ef_per_ev_cell": 19.1, "lattice": [[-0.833, -5.985, -0.444], [5.447, 2.193, 1.494], [-4.388, 0.840, 10.670]], "species": ["Y", "Tm", "Y", "Sc", "Y", "Sc", "Y", "Y", "Er", "Tm", "Tm", "Y"], "frac_coords": [[0.082, 0.418, 0.246], [0.167, 0.833, 0.500], [0.582, 0.918, 0.754], [0.667, 0.333, 0.000], [0.418, 0.082, 0.246], [0.333, 0.667, 0.000], [0.253, 0.253, 0.754], [0.918, 0.582, 0.754], [0.000, 0.000, 0.000], [0.833, 0.167, 0.500], [0.500, 0.500, 0.500], [0.747, 0.747, 0.246]]}



No. 11
{"formula": "YEr6TmSc2", "functional": "PBE-GGA", "state": "relaxed", "rho_g_cm3": 7.50, "formation_energy_ev_per_atom": 0.12, "dos_ef_per_ev_cell": 31.5, "lattice": [[-8.618, 2.875, 1.830], [-2.307, -3.893, -7.284], [0.464, -4.756, 7.121]], "species": ["Er", "Er", "Sc", "Er", "Er", "Er", "Er", "Sc", "Er", "Tm", "Er", "Y", "Tm", "Y", "Er", "Sc", "Er", "Er", "Sc", "Er"], "frac_coords": [[0.817, 0.436, 0.982], [0.683, 0.018, 0.564], [0.046, 0.309, 0.197], [0.883, 0.293, 0.502], [0.383, 0.502, 0.293], [0.945, 0.875, 0.244], [0.117, 0.707, 0.498], [0.954, 0.691, 0.803], [0.317, 0.982, 0.436], [0.750, 0.591, 0.409], [0.445, 0.244, 0.875], [0.250, 0.975, 0.025], [0.250, 0.409, 0.591], [0.750, 0.025, 0.975], [0.555, 0.756, 0.125], [0.546, 0.197, 0.309], [0.617, 0.498, 0.707], [0.183, 0.564, 0.018], [0.454, 0.803, 0.691], [0.055, 0.125, 0.756]]}



No. 12
{"formula": "Y6ErTmSc2", "functional": "PBE-GGA", "state": "relaxed", "rho_g_cm3": 5.18, "formation_energy_ev_per_atom": 0.13, "dos_ef_per_ev_cell": 34.1, "lattice": [[8.978, -1.950, -2.024], [0.739, 8.364, -1.912], [0.739, -2.221, 8.288]], "species": ["Y", "Sc", "Y", "Y", "Sc", "Y", "Y", "Y", "Y", "Sc", "Y", "Tm", "Er", "Tm", "Er", "Y", "Y", "Y", "Sc", "Y"], "frac_coords": [[0.946, 0.883, 0.242], [0.952, 0.702, 0.805], [0.616, 0.497, 0.701], [0.884, 0.299, 0.503], [0.548, 0.195, 0.298], [0.681, 0.016, 0.564], [0.554, 0.758, 0.117], [0.446, 0.242, 0.883], [0.384, 0.503, 0.299], [0.452, 0.805, 0.702], [0.054, 0.117, 0.758], [0.250, 0.974, 0.026], [0.250, 0.407, 0.593], [0.750, 0.026, 0.974], [0.750, 0.593, 0.407], [0.819, 0.436, 0.984], [0.181, 0.564, 0.016], [0.319, 0.984, 0.436], [0.048, 0.298, 0.195], [0.116, 0.701, 0.497]]}